Compound: TmLuNi
Source: OQMD via LeMat-Bulk
Functional: PBE
Structure: relaxed Values from VASP.

## Properties
- mass density (Mg/m³) = 9.45
- excess energy over the best structure of this formula in the dataset (eV/atom) = 0.000
- crystal system = cubic
- formation energy (meV/atom) = -215
- E (eV per atom) = -5.070
- SG = No. 216

```
&SYSTEM
  ibrav = 0, nat = 3, ntyp = 3
/
ATOMIC_SPECIES
Lu 174.97 Lu.upf
Ni 58.69 Ni.upf
Tm 168.93 Tm.upf
CELL_PARAMETERS angstrom
0.000 3.282 3.282
3.282 0.000 3.282
3.282 3.282 0.000
ATOMIC_POSITIONS crystal
Lu 0.250 0.250 0.250
Ni 0.000 0.000 0.000
Tm 0.750 0.750 0.750
```

---

Compound: TmLuNi2
Source: OQMD via LeMat-Bulk
Functional: PBE
Structure: relaxed Values from VASP.

## Properties
- mass density (Mg/m³) = 10.03
- crystal system = monoclinic
- formation energy (meV/atom) = -519
- E (eV per atom) = -5.552
- SG = No. 11

```
&SYSTEM
  ibrav = 0, nat = 8, ntyp = 3
/
ATOMIC_SPECIES
Lu 174.97 Lu.upf
Ni 58.69 Ni.upf
Tm 168.93 Tm.upf
CELL_PARAMETERS angstrom
-5.203 -0.565 -1.108
-0.695 -1.194 3.873
-1.099 6.607 1.839
ATOMIC_POSITIONS crystal
Lu 0.130 0.750 0.320
Lu 0.870 0.250 0.680
Ni 0.125 0.250 0.038
Ni 0.626 0.750 0.462
Ni 0.374 0.250 0.538
Ni 0.875 0.750 0.962
Tm 0.631 0.250 0.180
Tm 0.369 0.750 0.820
```

---

Compound: Tm3LuNi4
Source: OQMD via LeMat-Bulk
Functional: PBE
Structure: relaxed Values from VASP.

## Properties
- mass density (Mg/m³) = 9.93
- crystal system = monoclinic
- formation energy (meV/atom) = -513
- E (eV per atom) = -5.541
- SG = No. 6

```
&SYSTEM
  ibrav = 0, nat = 8, ntyp = 3
/
ATOMIC_SPECIES
Lu 174.97 Lu.upf
Ni 58.69 Ni.upf
Tm 168.93 Tm.upf
CELL_PARAMETERS angstrom
5.354 0.000 0.000
0.000 4.117 0.000
-0.004 0.000 6.956
ATOMIC_POSITIONS crystal
Lu 0.631 0.000 0.320
Ni 0.625 0.500 0.038
Ni 0.125 0.000 0.462
Ni 0.875 0.500 0.537
Ni 0.375 0.000 0.963
Tm 0.131 0.500 0.180
Tm 0.370 0.500 0.680
Tm 0.869 0.000 0.820
```

---

Compound: TmLuNi2
Source: OQMD via LeMat-Bulk
Functional: PBE
Structure: relaxed Values from VASP.

## Properties
- mass density (Mg/m³) = 10.02
- crystal system = orthorhombic
- formation energy (meV/atom) = -520
- E (eV per atom) = -5.553
- SG = No. 31

```
&SYSTEM
  ibrav = 0, nat = 8, ntyp = 3
/
ATOMIC_SPECIES
Lu 174.97 Lu.upf
Ni 58.69 Ni.upf
Tm 168.93 Tm.upf
CELL_PARAMETERS angstrom
4.102 0.000 0.000
0.000 6.943 0.000
0.000 0.000 5.369
ATOMIC_POSITIONS crystal
Lu 0.500 0.431 0.367
Lu 0.000 0.569 0.867
Ni 0.000 0.216 0.128
Ni 0.000 0.710 0.372
Ni 0.500 0.784 0.628
Ni 0.500 0.290 0.872
Tm 0.500 0.929 0.132
Tm 0.000 0.071 0.632
```

---

Compound: Lu2NiW2
Source: OQMD via LeMat-Bulk
Functional: PBE
Structure: relaxed Values from VASP.

## Properties
- mass density (Mg/m³) = 11.46
- crystal system = orthorhombic
- formation energy (meV/atom) = 1090
- E (eV per atom) = -7.017
- SG = No. 63

```
&SYSTEM
  ibrav = 0, nat = 10, ntyp = 3
/
ATOMIC_SPECIES
Lu 174.97 Lu.upf
Ni 58.69 Ni.upf
W 183.84 W.upf
CELL_PARAMETERS angstrom
2.672 -3.550 0.000
2.672 3.550 0.000
0.000 0.000 11.855
ATOMIC_POSITIONS crystal
Lu 0.827 0.173 0.102
Lu 0.827 0.173 0.398
Lu 0.173 0.827 0.602
Lu 0.173 0.827 0.898
Ni 0.548 0.452 0.250
Ni 0.452 0.548 0.750
W 0.232 0.768 0.152
W 0.232 0.768 0.348
W 0.768 0.232 0.652
W 0.768 0.232 0.848
```

---

Compound: LuNiW
Source: OQMD via LeMat-Bulk
Functional: PBE
Structure: relaxed Values from VASP.

## Properties
- mass density (Mg/m³) = 11.32
- crystal system = cubic
- formation energy (meV/atom) = 1508
- E (eV per atom) = -6.176
- SG = No. 216

```
&SYSTEM
  ibrav = 0, nat = 3, ntyp = 3
/
ATOMIC_SPECIES
Lu 174.97 Lu.upf
Ni 58.69 Ni.upf
W 183.84 W.upf
CELL_PARAMETERS angstrom
0.297 -2.863 3.360
-3.400 -2.672 0.937
0.307 -4.339 -0.811
ATOMIC_POSITIONS crystal
Lu 0.000 0.000 0.000
Ni 0.250 0.250 0.250
W 0.750 0.750 0.750
```

---

Compound: YLuNi2
Source: OQMD via LeMat-Bulk
Functional: PBE
Structure: relaxed Values from VASP.

## Properties
- mass density (Mg/m³) = 8.16
- excess energy over the best structure of this formula in the dataset (eV/atom) = 0.003
- crystal system = monoclinic
- formation energy (meV/atom) = -482
- E (eV per atom) = -6.013
- SG = No. 11

```
&SYSTEM
  ibrav = 0, nat = 8, ntyp = 3
/
ATOMIC_SPECIES
Lu 174.97 Lu.upf
Ni 58.69 Ni.upf
Y 88.91 Y.upf
CELL_PARAMETERS angstrom
-1.670 -0.061 5.123
3.694 -1.378 1.188
2.236 6.589 0.694
ATOMIC_POSITIONS crystal
Lu 0.368 0.250 0.178
Lu 0.632 0.750 0.822
Ni 0.870 0.250 0.034
Ni 0.377 0.750 0.461
Ni 0.623 0.250 0.539
Ni 0.130 0.750 0.966
Y 0.867 0.750 0.318
Y 0.133 0.250 0.682
```

---

Compound: YLuNi2
Source: OQMD via LeMat-Bulk
Functional: PBE
Structure: relaxed Values from VASP.

## Properties
- mass density (Mg/m³) = 8.17
- excess energy over the best structure of this formula in the dataset (eV/atom) = 0.000
- crystal system = orthorhombic
- formation energy (meV/atom) = -486
- E (eV per atom) = -6.017
- SG = No. 31

```
&SYSTEM
  ibrav = 0, nat = 8, ntyp = 3
/
ATOMIC_SPECIES
Lu 174.97 Lu.upf
Ni 58.69 Ni.upf
Y 88.91 Y.upf
CELL_PARAMETERS angstrom
-1.555 0.527 3.774
-5.678 -3.633 -1.832
2.390 -4.552 1.621
ATOMIC_POSITIONS crystal
Lu 0.500 0.933 0.367
Lu 0.000 0.067 0.867
Ni 0.000 0.723 0.127
Ni 0.000 0.204 0.375
Ni 0.500 0.277 0.627
Ni 0.500 0.796 0.875
Y 0.500 0.426 0.131
Y 0.000 0.574 0.631
```

---

Compound: YLu3Ni4
Source: OQMD via LeMat-Bulk
Functional: PBE
Structure: relaxed Values from VASP.

## Properties
- mass density (Mg/m³) = 9.33
- crystal system = monoclinic
- formation energy (meV/atom) = -504
- E (eV per atom) = -5.793
- SG = No. 6

```
&SYSTEM
  ibrav = 0, nat = 8, ntyp = 3
/
ATOMIC_SPECIES
Lu 174.97 Lu.upf
Ni 58.69 Ni.upf
Y 88.91 Y.upf
CELL_PARAMETERS angstrom
5.343 0.000 0.000
0.000 4.085 0.000
-0.056 0.000 6.920
ATOMIC_POSITIONS crystal
Lu 0.868 0.000 0.179
Lu 0.367 0.500 0.318
Lu 0.132 0.500 0.822
Ni 0.370 0.000 0.041
Ni 0.877 0.500 0.458
Ni 0.128 0.000 0.534
Ni 0.627 0.500 0.969
Y 0.631 0.000 0.679
```

---

Compound: YLuNi2
Source: OQMD via LeMat-Bulk
Functional: PBE
Structure: relaxed Values from VASP.

## Properties
- mass density (Mg/m³) = 8.04
- excess energy over the best structure of this formula in the dataset (eV/atom) = 0.003
- crystal system = orthorhombic
- formation energy (meV/atom) = -483
- E (eV per atom) = -6.014
- SG = No. 26

```
&SYSTEM
  ibrav = 0, nat = 8, ntyp = 3
/
ATOMIC_SPECIES
Lu 174.97 Lu.upf
Ni 58.69 Ni.upf
Y 88.91 Y.upf
CELL_PARAMETERS angstrom
-3.833 1.497 0.520
-1.241 -4.253 3.098
2.146 3.518 5.689
ATOMIC_POSITIONS crystal
Lu 0.000 0.118 0.320
Lu 0.000 0.882 0.820
Ni 0.500 0.123 0.038
Ni 0.000 0.627 0.463
Ni 0.500 0.877 0.538
Ni 0.000 0.373 0.963
Y 0.500 0.620 0.179
Y 0.500 0.380 0.679
```

---

Compound: LuZn2Ni
Source: OQMD via LeMat-Bulk
Functional: PBE
Structure: relaxed Values from VASP.

## Properties
- mass density (Mg/m³) = 9.50
- crystal system = cubic
- formation energy (meV/atom) = -282
- E (eV per atom) = -3.437
- SG = No. 216

```
&SYSTEM
  ibrav = 0, nat = 4, ntyp = 3
/
ATOMIC_SPECIES
Lu 174.97 Lu.upf
Ni 58.69 Ni.upf
Zn 65.41 Zn.upf
CELL_PARAMETERS angstrom
-1.258 1.743 3.933
-4.249 -0.399 1.372
-1.002 -2.704 3.432
ATOMIC_POSITIONS crystal
Lu 0.500 0.500 0.500
Ni 0.750 0.750 0.750
Zn 0.000 0.000 0.000
Zn 0.250 0.250 0.250
```

---

Compound: LuZnNi2
Source: OQMD via LeMat-Bulk
Functional: PBE
Structure: relaxed Values from VASP.

## Properties
- mass density (Mg/m³) = 9.85
- crystal system = cubic
- formation energy (meV/atom) = -197
- E (eV per atom) = -4.428
- SG = No. 216

```
&SYSTEM
  ibrav = 0, nat = 4, ntyp = 3
/
ATOMIC_SPECIES
Lu 174.97 Lu.upf
Ni 58.69 Ni.upf
Zn 65.41 Zn.upf
CELL_PARAMETERS angstrom
0.000 3.112 3.112
3.112 0.000 3.112
3.112 3.112 0.000
ATOMIC_POSITIONS crystal
Lu 0.250 0.250 0.250
Ni 0.000 0.000 0.000
Ni 0.750 0.750 0.750
Zn 0.500 0.500 0.500
```